Compound: La3Pr2DyY6
Source: Alexandria via LeMat-Bulk
Functional: GGA-PBE
Structure: optimized geometry

Cell lengths 6.3114, 10.9335, 11.9399 Å; angles 90.00, 100.14, 90.00 degrees
Closest atoms and distances in Å follow each position.
Space group C2/m (No. 12)
One atom of each set of equivalent atoms:
La 0.0000 0.0000 0.0000 (multiplicity 2)  6 Y 3.63-3.64, 6 La 3.64-3.65
La 0.0000 0.3328 0.0000 (multiplicity 4)  6 Y 3.63-3.64, 6 La 3.64-3.66
Pr 0.0000 0.1663 0.5000 (multiplicity 4)  6 Y 3.59, 3 Pr 3.64-3.65, 3 Dy 3.64-3.65
Dy 0.0000 0.5000 0.5000 (multiplicity 2)  6 Y 3.59, 6 Pr 3.64-3.65
Y 0.2486 0.3337 0.7475 (multiplicity 8)  1 Dy 3.59, 2 Pr 3.59, 3 La 3.63-3.64, 6 Y 3.64-3.65
Y 0.2498 0.0000 0.7480 (multiplicity 4)  1 Dy 3.59, 2 Pr 3.59, 3 La 3.63-3.64, 6 Y 3.64-3.65

## Properties
Density: 5.7 g/cm3
Fermi-level density of states: 1.2411 states/eV per atom
Formation energy: 0.010 eV per atom
Spin magnetization: 0.0 Bohr magnetons per cell